Record 1
This record from the Alexandria database describes Tm4B3C4 after structural relaxation. The functional is GGA-PBEsol.

Unit cell a=3.4072 b=3.5051 c=11.7465 alpha=92.66 beta=98.49 gamma=89.99
With the nearest neighbours (Å) after each atom.
Fractional positions:
B1 0.0000 0.0000 0.0000  2 C 1.47
B2 0.7293 0.4940 0.4599  1 C 1.50
B3 0.2707 0.5060 0.5401  1 C 1.50
C1 0.9417 0.0578 0.8754  1 B 1.47
C2 0.6638 0.4741 0.3307  1 B 1.50
C3 0.3362 0.5259 0.6693  1 B 1.50
C4 0.0583 0.9422 0.1246  1 B 1.47
Tm1 0.4334 0.5524 0.8603  5 C 2.22-2.46
Tm2 0.8270 0.0228 0.6509  5 C 2.45-2.61
Tm3 0.5666 0.4476 0.1397  5 C 2.22-2.46
Tm4 0.1730 0.9772 0.3491  5 C 2.45-2.61

ΔE_f = -0.56 eV per atom
space group = P-1 (2)

Record 2
This record from the Alexandria database describes Zr3Te after structural relaxation. The functional is GGA-PBEsol.

Unit cell a=4.3846 b=4.3846 c=4.3846 alpha=90.00 beta=90.00 gamma=90.00
With the nearest neighbours (Å) after each atom.
Fractional positions:
Zr1 0.5000 0.5000 0.0000  8 Zr 3.10, 4 Te 3.10
Zr2 0.5000 0.0000 0.5000  8 Zr 3.10, 4 Te 3.10
Zr3 0.0000 0.5000 0.5000  8 Zr 3.10, 4 Te 3.10
Te1 0.0000 0.0000 0.0000  12 Zr 3.10

E_form (uncorrected) = -0.399 eV/atom
space group = Pm-3m (221)

Record 3
This record from the Alexandria database describes Tl2TcRu after structural relaxation. The functional is GGA-PBEsol.

Unit cell a=3.1002 b=4.5413 c=5.1055 alpha=90.00 beta=90.00 gamma=90.00
With the nearest neighbours (Å) after each atom.
Fractional positions:
Tc1 0.0000 0.5000 0.5000  4 Tl 2.75, 4 Ru 2.99
Tl1 0.5000 0.0000 0.5000  4 Tc 2.75, 4 Tl 2.99
Tl2 0.0000 0.0000 0.0000  4 Ru 2.75, 4 Tl 2.99
Ru1 0.5000 0.5000 0.0000  4 Tl 2.75, 4 Tc 2.99

ΔE_f = 0.85 eV per atom
space group = Pmmm (47)
ΔE to the lowest computed polymorph = 469 meV per atom

Record 4
This record from the Alexandria database describes KTe3Ru after structural relaxation. The functional is GGA-PBEsol.

Unit cell a=5.6839 b=5.6839 c=5.6839 alpha=90.00 beta=90.00 gamma=90.00
With the nearest neighbours (Å) after each atom.
Fractional positions:
Ru1 0.5000 0.5000 0.5000  12 Te 4.02
Te1 0.5000 0.0000 0.0000  2 K 2.84
Te2 0.0000 0.5000 0.0000  2 K 2.84
Te3 0.0000 0.0000 0.5000  2 K 2.84
K1 0.0000 0.0000 0.0000  6 Te 2.84

E_form (uncorrected) = 1.872 eV/atom
space group = Pm-3m (221)

Record 5
This record from the Alexandria database describes BaPCl after structural relaxation. The functional is GGA-PBEsol.

Unit cell a=5.0633 b=5.0633 c=5.0633 alpha=60.00 beta=60.00 gamma=60.00
With the nearest neighbours (Å) after each atom.
Fractional positions:
P1 0.0000 0.0000 0.0000  4 Cl 3.10
Ba1 0.5000 0.5000 0.5000  4 Cl 3.10
Cl1 0.2500 0.2500 0.2500  4 Ba 3.10, 4 P 3.10

E_form (uncorrected) = -0.629 eV/atom
space group = F-43m (216)
ΔE to the lowest computed polymorph = 102 meV per atom

Record 6
This record from the Alexandria database describes RbCd4As3 after structural relaxation. The functional is GGA-PBEsol.

Unit cell a=4.4683 b=4.4683 c=12.4645 alpha=79.67 beta=79.67 gamma=60.00
With the nearest neighbours (Å) after each atom.
Fractional positions:
As1 0.0000 0.0000 0.0000  8 Cd 2.82-3.13
As2 0.7698 0.7698 0.6906  4 Cd 2.64-2.66
As3 0.2302 0.2302 0.3094  4 Cd 2.64-2.66
Cd1 0.6976 0.6976 0.9073  4 As 2.64-2.82
Cd2 0.9143 0.9143 0.2571  3 As 2.66
Cd3 0.0857 0.0857 0.7429  3 As 2.66
Cd4 0.3024 0.3024 0.0927  4 As 2.64-2.82
Rb1 0.5000 0.5000 0.5000  6 As 3.47

ΔE_f = -0.21 eV per atom
space group = R-3m (166)

Record 7
This record from the Alexandria database describes FeSnAu3 after structural relaxation. The functional is GGA-PBEsol.

Unit cell a=4.7602 b=4.7602 c=4.7602 alpha=90.00 beta=90.00 gamma=90.00
With the nearest neighbours (Å) after each atom.
Fractional positions:
Au1 0.0000 0.5000 0.0000  2 Fe 2.38
Au2 0.0000 0.0000 0.5000  2 Fe 2.38
Au3 0.5000 0.0000 0.0000  2 Fe 2.38
Sn1 0.5000 0.5000 0.5000  12 Au 3.37
Fe1 0.0000 0.0000 0.0000  6 Au 2.38

ΔE_f = 0.62 eV per atom
space group = Pm-3m (221)

Record 8
This record from the Alexandria database describes Ta3NF after structural relaxation. The functional is GGA-PBEsol.

Unit cell a=4.1658 b=4.1658 c=4.1658 alpha=90.00 beta=90.00 gamma=90.00
With the nearest neighbours (Å) after each atom.
Fractional positions:
N1 0.5000 0.5000 0.5000  12 Ta 2.95
F1 0.0000 0.0000 0.0000  6 Ta 2.08
Ta1 0.0000 0.5000 0.0000  2 F 2.08
Ta2 0.5000 0.0000 0.0000  2 F 2.08
Ta3 0.0000 0.0000 0.5000  2 F 2.08

E_form (uncorrected) = 1.163 eV/atom
space group = Pm-3m (221)

What are the DFT total energy values for these records? In order: -7.761 -8.098 -5.829 -2.505 -3.945 -2.853 -4.378 -8.458 eV per atom.
What are the N(E_F) values for these records? In order: 2.036 4.711 3.949 8.030 2.045 0.306 2.950 3.804 states/eV per cell.